Entry 1:
First-principles (PBE) data for crystalline Na2ClF at its relaxed geometry, as listed in the Alexandria database.

```
data_Na2ClF
_cell_length_a 3.6774
_cell_length_b 3.6774
_cell_length_c 18.1476
_cell_angle_alpha 90.00
_cell_angle_beta 90.00
_cell_angle_gamma 120.00
_symmetry_space_group_name_H-M 'R -3 m'
_symmetry_Int_Tables_number 166
_symmetry_space_group_name_Hall '-R 3 2"'
loop_
_atom_site_label
_atom_site_type_symbol
_atom_site_fract_x
_atom_site_fract_y
_atom_site_fract_z
Na1 Na 0.0000 0.0000 0.2375
Cl1 Cl 0.0000 0.0000 0.0000
F1 F 0.0000 0.0000 0.5000
```

Properties
Formation energy from raw total energies, eV per atom: -2.2004
Energy above the most stable polymorph in this dataset, meV per atom: 22.6

Entry 2:
First-principles (PBE) data for crystalline CaPm2Nd at its relaxed geometry, as listed in the Alexandria database.

```
data_CaPm2Nd
_cell_length_a 3.6220
_cell_length_b 3.6220
_cell_length_c 38.7431
_cell_angle_alpha 90.00
_cell_angle_beta 90.00
_cell_angle_gamma 120.00
_symmetry_space_group_name_H-M 'R -3 m'
_symmetry_Int_Tables_number 166
_symmetry_space_group_name_Hall '-R 3 2"'
loop_
_atom_site_label
_atom_site_type_symbol
_atom_site_fract_x
_atom_site_fract_y
_atom_site_fract_z
Ca1 Ca 0.0000 0.0000 0.0000
Pm1 Pm 0.0000 0.0000 0.0906
Nd1 Nd 0.0000 0.0000 0.5000
```

Properties
Energy of formation, eV/atom: 0.13
Energy above the most stable polymorph in this dataset, meV per atom: 92.1

Entry 3:
First-principles (PBE) data for crystalline In3IrCl at its relaxed geometry, as listed in the Alexandria database.

```
data_In3IrCl
_cell_length_a 4.5551
_cell_length_b 4.5551
_cell_length_c 17.3116
_cell_angle_alpha 90.00
_cell_angle_beta 90.00
_cell_angle_gamma 120.00
_symmetry_space_group_name_H-M 'P 63/m m c'
_symmetry_Int_Tables_number 194
_symmetry_space_group_name_Hall '-P 6c 2c'
loop_
_atom_site_label
_atom_site_type_symbol
_atom_site_fract_x
_atom_site_fract_y
_atom_site_fract_z
In1 In 0.0000 0.0000 0.2500
In2 In 0.3333 0.6667 0.0978
Ir1 Ir 0.3333 0.6667 0.2500
Cl1 Cl 0.0000 0.0000 0.0000
```

Properties
Formation energy from raw total energies, eV per atom: -0.0320
Energy above the most stable polymorph in this dataset, meV per atom: 405.8

Entry 4:
First-principles (PBE) data for crystalline NpTlSe3 at its relaxed geometry, as listed in the Alexandria database.

```
data_NpTlSe3
_cell_length_a 5.4276
_cell_length_b 5.4276
_cell_length_c 5.4276
_cell_angle_alpha 90.00
_cell_angle_beta 90.00
_cell_angle_gamma 90.00
_symmetry_space_group_name_H-M 'P m -3 m'
_symmetry_Int_Tables_number 221
_symmetry_space_group_name_Hall '-P 4 2 3'
loop_
_atom_site_label
_atom_site_type_symbol
_atom_site_fract_x
_atom_site_fract_y
_atom_site_fract_z
Np1 Np 0.0000 0.0000 0.0000
Tl1 Tl 0.5000 0.5000 0.5000
Se1 Se 0.0000 0.0000 0.5000
```

Properties
Formation energy from raw total energies, eV per atom: -0.7112
Energy above the most stable polymorph in this dataset, meV per atom: 39.6

Entry 5:
First-principles (PBE) data for crystalline NaAlTc3 at its relaxed geometry, as listed in the Alexandria database.

```
data_NaAlTc3
_cell_length_a 4.4980
_cell_length_b 4.4980
_cell_length_c 4.4980
_cell_angle_alpha 90.00
_cell_angle_beta 90.00
_cell_angle_gamma 90.00
_symmetry_space_group_name_H-M 'P m -3 m'
_symmetry_Int_Tables_number 221
_symmetry_space_group_name_Hall '-P 4 2 3'
loop_
_atom_site_label
_atom_site_type_symbol
_atom_site_fract_x
_atom_site_fract_y
_atom_site_fract_z
Na1 Na 0.0000 0.0000 0.0000
Al1 Al 0.5000 0.5000 0.5000
Tc1 Tc 0.0000 0.0000 0.5000
```

Properties
Energy of formation, eV/atom: 2.31
Energy above the most stable polymorph in this dataset, meV per atom: 771.7

Entry 6:
First-principles (PBE) data for crystalline Cd3In2Ga at its relaxed geometry, as listed in the Alexandria database.

```
data_Cd3In2Ga
_cell_length_a 10.1889
_cell_length_b 8.3705
_cell_length_c 6.8170
_cell_angle_alpha 90.00
_cell_angle_beta 92.45
_cell_angle_gamma 90.00
_symmetry_space_group_name_H-M 'C 1 2/c 1'
_symmetry_Int_Tables_number 15
loop_
_symmetry_equiv_pos_as_xyz
'x,y,z'
'-x,-y,-z'
'-x,y,-z+1/2'
'x,-y,z+1/2'
'x+1/2,y+1/2,z'
'-x+1/2,-y+1/2,-z'
'-x+1/2,y+1/2,-z+1/2'
'x+1/2,-y+1/2,z+1/2'
loop_
_atom_site_label
_atom_site_type_symbol
_atom_site_fract_x
_atom_site_fract_y
_atom_site_fract_z
Cd1 Cd 0.0000 0.0801 0.2500
Cd2 Cd 0.2487 0.4257 0.0075
In1 In 0.1214 0.2556 0.6215
Ga1 Ga 0.0000 0.4323 0.2500
```

Properties
Energy of formation, eV/atom: 0.07
Energy above the most stable polymorph in this dataset, meV per atom: 28.5

Entry 7:
First-principles (PBE) data for crystalline Cu6SeS2 at its relaxed geometry, as listed in the Alexandria database.

```
data_Cu6SeS2
_cell_length_a 12.0184
_cell_length_b 4.1120
_cell_length_c 7.4731
_cell_angle_alpha 90.00
_cell_angle_beta 118.19
_cell_angle_gamma 90.00
_symmetry_space_group_name_H-M 'C 1 2/m 1'
_symmetry_Int_Tables_number 12
loop_
_symmetry_equiv_pos_as_xyz
'x,y,z'
'-x,-y,-z'
'-x,y,-z'
'x,-y,z'
'x+1/2,y+1/2,z'
'-x+1/2,-y+1/2,-z'
'-x+1/2,y+1/2,-z'
'x+1/2,-y+1/2,z'
loop_
_atom_site_label
_atom_site_type_symbol
_atom_site_fract_x
_atom_site_fract_y
_atom_site_fract_z
Cu1 Cu 0.0179 0.0000 0.3309
Cu2 Cu 0.1073 0.5000 0.1860
Cu3 Cu 0.1224 0.5000 0.5556
Se1 Se 0.0000 0.0000 0.0000
S1 S 0.1799 0.0000 0.6659
```

Properties
Formation energy from raw total energies, eV per atom: -0.0310

Entry 8:
First-principles (PBE) data for crystalline Ac3Al2Cd3 at its relaxed geometry, as listed in the Alexandria database.

```
data_Ac3Al2Cd3
_cell_length_a 4.9350
_cell_length_b 11.7523
_cell_length_c 16.3864
_cell_angle_alpha 90.00
_cell_angle_beta 90.00
_cell_angle_gamma 90.00
_symmetry_space_group_name_H-M 'C m c m'
_symmetry_Int_Tables_number 63
_symmetry_space_group_name_Hall '-C 2c 2'
loop_
_atom_site_label
_atom_site_type_symbol
_atom_site_fract_x
_atom_site_fract_y
_atom_site_fract_z
Ac1 Ac 0.0000 0.0936 0.1067
Ac2 Ac 0.0000 0.3802 0.2500
Al1 Al 0.0000 0.2022 0.6005
Cd1 Cd 0.0000 0.3264 0.7500
Cd2 Cd 0.0000 0.3784 0.0356
```

Properties
Energy of formation, eV/atom: -0.32

Entry 9:
First-principles (PBE) data for crystalline HfInH3 at its relaxed geometry, as listed in the Alexandria database.

```
data_HfInH3
_cell_length_a 3.8435
_cell_length_b 3.8435
_cell_length_c 3.8435
_cell_angle_alpha 90.00
_cell_angle_beta 90.00
_cell_angle_gamma 90.00
_symmetry_space_group_name_H-M 'P m -3 m'
_symmetry_Int_Tables_number 221
_symmetry_space_group_name_Hall '-P 4 2 3'
loop_
_atom_site_label
_atom_site_type_symbol
_atom_site_fract_x
_atom_site_fract_y
_atom_site_fract_z
Hf1 Hf 0.0000 0.0000 0.0000
In1 In 0.5000 0.5000 0.5000
H1 H 0.0000 0.5000 0.5000
```

Properties
Energy above the most stable polymorph in this dataset, meV per atom: 772.6

Entry 10:
First-principles (PBE) data for crystalline Ba2Ge3Pt12Au at its relaxed geometry, as listed in the Alexandria database.

```
data_Ba2Ge3Pt12Au
_cell_length_a 8.4567
_cell_length_b 8.4567
_cell_length_c 19.3139
_cell_angle_alpha 90.00
_cell_angle_beta 90.00
_cell_angle_gamma 120.00
_symmetry_space_group_name_H-M 'R -3 m'
_symmetry_Int_Tables_number 166
_symmetry_space_group_name_Hall '-R 3 2"'
loop_
_atom_site_label
_atom_site_type_symbol
_atom_site_fract_x
_atom_site_fract_y
_atom_site_fract_z
Ba1 Ba 0.0000 0.0000 0.1103
Ge1 Ge 0.0000 0.5000 0.0000
Pt1 Pt 0.0047 0.5023 0.8745
Pt2 Pt 0.0443 0.5222 0.3746
Au1 Au 0.0000 0.0000 0.5000
```

Properties
Energy of formation, eV/atom: -0.11

Entry 11:
First-principles (PBE) data for crystalline Tl2TcPb at its relaxed geometry, as listed in the Alexandria database.

```
data_Tl2TcPb
_cell_length_a 3.4276
_cell_length_b 5.0806
_cell_length_c 5.8420
_cell_angle_alpha 90.00
_cell_angle_beta 106.35
_cell_angle_gamma 90.00
_symmetry_space_group_name_H-M 'P 1 2/m 1'
_symmetry_Int_Tables_number 10
loop_
_symmetry_equiv_pos_as_xyz
'x,y,z'
'-x,-y,-z'
'-x,y,-z'
'x,-y,z'
loop_
_atom_site_label
_atom_site_type_symbol
_atom_site_fract_x
_atom_site_fract_y
_atom_site_fract_z
Tl1 Tl 0.1304 0.0000 0.2724
Tc1 Tc 0.5000 0.5000 0.5000
Pb1 Pb 0.5000 0.5000 0.0000
```

Properties
Energy of formation, eV/atom: 0.68
Energy above the most stable polymorph in this dataset, meV per atom: 244.5

Total energy (computed, eV per atom): -3.7894; -3.9339; -3.8166; -5.8633; -4.9216; -1.8083; -4.0661; -3.1365; -3.7875; -5.3020; -4.0217